# La2Pm3Mg (PBE, relaxed)
# * excess energy over the best structure of this formula in the dataset: 0.050 eV per atom
# * N(E_F): 1.2832 states/eV per atom
# * calculated density: 5.67 Mg/m³
# * E_tot: -3.96 eV/atom
# * formation energy from the elements: 0.328 eV per atom
data_La2Pm3Mg
_symmetry_space_group_name_H-M 'C m c m'
_symmetry_Int_Tables_number 63
_symmetry_space_group_name_Hall '-C 2c 2'
_cell_length_a 15.821
_cell_length_b 9.377
_cell_length_c 5.821
_cell_angle_alpha 90.00
_cell_angle_beta 90.00
_cell_angle_gamma 90.00
loop_
_atom_site_label
_atom_site_type_symbol
_atom_site_fract_x
_atom_site_fract_y
_atom_site_fract_z
La1 La 0.101 0.124 0.250
Pm1 Pm 0.000 0.440 0.250
Pm2 Pm 0.249 0.377 0.250
Mg1 Mg 0.000 0.216 0.750